{"formula": "PuHfBe4", "functional": "PBE", "state": "relaxed", "e_tot_ev_per_cell": -38.8, "dos_at_fermi_per_ev_cell": 8.350, "delta_e_f_kj_per_mol_fu": 39, "lattice": [[0.0000, 3.4130, 3.4130], [3.4130, 0.0000, 3.4130], [3.4130, 3.4130, 0.0000]], "species": ["Pu", "Hf", "Be", "Be", "Be", "Be"], "fractional_positions": [[0.0000, 0.0000, 0.0000], [0.2500, 0.2500, 0.2500], [0.1317, 0.6228, 0.6228], [0.6228, 0.1317, 0.6228], [0.6228, 0.6228, 0.1317], [0.6228, 0.6228, 0.6228]]}

=====

{"formula": "BaLi2F4", "functional": "PBE", "state": "relaxed", "formation_energy_uncorrected_ev_per_fu": -22.8, "e_tot_ev_per_cell": -72.0, "dos_at_fermi_per_ev_cell": 0.000, "lattice": [[-4.1006, 4.1006, 3.1112], [4.1006, -4.1006, 3.1112], [4.1006, 4.1006, -3.1112]], "species": ["Ba", "Ba", "Li", "Li", "Li", "Li", "F", "F", "F", "F", "F", "F", "F", "F"], "fractional_positions": [[0.0000, 0.0000, 0.0000], [0.7500, 0.2500, 0.5000], [0.3027, 0.6250, 0.1777], [0.3750, 0.5527, 0.6777], [0.4473, 0.1250, 0.8223], [0.8750, 0.6973, 0.3223], [0.0581, 0.8109, 0.6439], [0.1642, 0.4169, 0.8561], [0.1669, 0.4142, 0.3561], [0.1891, 0.8331, 0.2473], [0.5609, 0.3081, 0.1439], [0.5831, 0.4391, 0.7473], [0.5858, 0.9419, 0.7527], [0.6919, 0.8358, 0.2527]]}

=====

{"formula": "AsC3", "functional": "PBE", "state": "relaxed", "de_polymorph_mev_per_atom": 2643, "e_tot_ev_per_cell": -18.7, "dos_at_fermi_per_ev_cell": 1.339, "delta_e_f_kj_per_mol_fu": 1314, "lattice": [[3.6937, 0.0000, 0.0000], [0.0000, 3.6937, 0.0000], [0.0000, 0.0000, 2.7904]], "species": ["As", "C", "C", "C"], "fractional_positions": [[0.0000, 0.0000, 0.0000], [0.0000, 0.5000, 0.5000], [0.5000, 0.0000, 0.5000], [0.5000, 0.5000, 0.0000]]}